Computed, not measured: a geometry-optimized Sm7Al2Pb2 structure at the GGA-PBE level of DFT.

Results
- E_form: -84.1 kJ/mol of formula units
- E_tot: -4.44 eV/atom
- M_tot: 0.00 μB/f.u.

Cell lengths 7.9501, 11.4809, 7.8010 Å; angles 90.00, 90.00, 90.00 degrees
Space group Cmmm (No. 65)
Asymmetric unit:
Sm1 0.0000 0.0000 0.0000 (multiplicity 2)
Sm2 0.0000 0.5000 0.2325 (multiplicity 4)
Sm3 0.2500 0.2500 0.2816 (multiplicity 8)
Al1 0.0000 0.2810 0.0000 (multiplicity 4)
Pb1 0.1907 0.0000 0.5000 (multiplicity 4)

***

Computed, not measured: a geometry-optimized TaAgPb2 structure at the GGA-PBE level of DFT.

Results
- E_form: 320.2 kJ/mol of formula units
- Excess energy over the best structure of this formula in the dataset: 499 meV per atom
- E_tot: -4.70 eV/atom
- M_tot: 1.48 μB/f.u.

Cell lengths 7.2631, 7.2631, 7.2631 Å; angles 90.00, 90.00, 90.00 degrees
Space group F-43m (No. 216)
Asymmetric unit:
Ta1 0.0000 0.0000 0.0000 (multiplicity 4)
Ag1 0.2500 0.2500 0.2500 (multiplicity 4)
Pb1 0.0000 0.0000 0.5000 (multiplicity 4)
Pb2 0.2500 0.2500 0.7500 (multiplicity 4)

***

Computed, not measured: a geometry-optimized Zr3CrRe structure at the GGA-PBE level of DFT.

Results
- E_form: 456.8 kJ/mol of formula units
- Excess energy over the best structure of this formula in the dataset: 0 meV per atom
- E_tot: -8.60 eV/atom
- M_tot: 0.01 μB/f.u.

Cell lengths 4.7132, 4.7132, 4.7132 Å; angles 90.00, 90.00, 90.00 degrees
Space group Pm-3m (No. 221)
Asymmetric unit:
Zr1 0.0000 0.0000 0.5000 (multiplicity 3)
Cr1 0.0000 0.0000 0.0000 (multiplicity 1)
Re1 0.5000 0.5000 0.5000 (multiplicity 1)

***

Computed, not measured: a geometry-optimized NaLaAlHg structure at the GGA-PBE level of DFT.

Results
- E_form: -87.0 kJ/mol of formula units
- E_tot: -2.80 eV/atom
- M_tot: 0.00 μB/f.u.

Cell lengths 7.5038, 7.5038, 7.5038 Å; angles 90.00, 90.00, 90.00 degrees
Space group F-43m (No. 216)
Asymmetric unit:
Na1 0.0000 0.0000 0.0000 (multiplicity 4)
La1 0.0000 0.0000 0.5000 (multiplicity 4)
Al1 0.2500 0.2500 0.7500 (multiplicity 4)
Hg1 0.2500 0.2500 0.2500 (multiplicity 4)

***

Computed, not measured: a geometry-optimized BeAs3Ir structure at the GGA-PBE level of DFT.

Results
- E_form: 362.8 kJ/mol of formula units
- Excess energy over the best structure of this formula in the dataset: 0 meV per atom
- E_tot: -4.56 eV/atom
- M_tot: 0.00 μB/f.u.

Cell lengths 4.3611, 4.3611, 4.3611 Å; angles 90.00, 90.00, 90.00 degrees
Space group Pm-3m (No. 221)
Asymmetric unit:
Be1 0.0000 0.0000 0.0000 (multiplicity 1)
As1 0.0000 0.0000 0.5000 (multiplicity 3)
Ir1 0.5000 0.5000 0.5000 (multiplicity 1)

***

Computed, not measured: a geometry-optimized HoAl2Au4 structure at the GGA-PBE level of DFT.

Results
- E_form: -398.1 kJ/mol of formula units
- E_tot: -4.19 eV/atom
- M_tot: 0.00 μB/f.u.

Cell lengths 17.4073, 4.4739, 6.8494 Å; angles 90.00, 90.00, 90.00 degrees
Space group Pnma (No. 62)
Asymmetric unit:
Ho1 0.1418 0.2500 0.0231 (multiplicity 4)
Al1 0.0363 0.7500 0.2593 (multiplicity 4)
Al2 0.2162 0.2500 0.5380 (multiplicity 4)
Au1 0.0339 0.7500 0.8700 (multiplicity 4)
Au2 0.0709 0.2500 0.4750 (multiplicity 4)
Au3 0.1845 0.7500 0.3212 (multiplicity 4)
Au4 0.1920 0.7500 0.7453 (multiplicity 4)

***

Computed, not measured: a geometry-optimized TiCdInF2 structure at the GGA-PBE level of DFT.

Results
- E_tot: -3.70 eV/atom
- M_tot: 2.92 μB/f.u.

Cell lengths 4.4086, 4.4086, 6.7222 Å; angles 90.00, 90.00, 90.00 degrees
Space group P4/mmm (No. 123)
Asymmetric unit:
Ti1 0.0000 0.0000 0.0000 (multiplicity 1)
Cd1 0.5000 0.5000 0.0000 (multiplicity 1)
In1 0.0000 0.0000 0.5000 (multiplicity 1)
F1 0.0000 0.5000 0.5000 (multiplicity 2)

***

Computed, not measured: a geometry-optimized LiPaCuIr structure at the GGA-PBE level of DFT.

Results
- E_form: -83.5 kJ/mol of formula units
- E_tot: -6.31 eV/atom
- M_tot: 0.00 μB/f.u.

Cell lengths 6.5615, 6.5615, 6.5615 Å; angles 90.00, 90.00, 90.00 degrees
Space group F-43m (No. 216)
Asymmetric unit:
Li1 0.0000 0.0000 0.0000 (multiplicity 4)
Pa1 0.0000 0.0000 0.5000 (multiplicity 4)
Cu1 0.2500 0.2500 0.7500 (multiplicity 4)
Ir1 0.2500 0.2500 0.2500 (multiplicity 4)

***

Computed, not measured: a geometry-optimized CaSc3Br structure at the GGA-PBE level of DFT.

Results
- Excess energy over the best structure of this formula in the dataset: 0 meV per atom
- E_tot: -4.60 eV/atom
- M_tot: 0.00 μB/f.u.

Cell lengths 5.1694, 5.1694, 5.1694 Å; angles 90.00, 90.00, 90.00 degrees
Space group Pm-3m (No. 221)
Asymmetric unit:
Ca1 0.0000 0.0000 0.0000 (multiplicity 1)
Sc1 0.0000 0.5000 0.5000 (multiplicity 3)
Br1 0.5000 0.5000 0.5000 (multiplicity 1)

***

Computed, not measured: a geometry-optimized Zn2Ga2Bi structure at the GGA-PBE level of DFT.

Results
- E_form: 32.1 kJ/mol of formula units
- Excess energy over the best structure of this formula in the dataset: 0 meV per atom
- E_tot: -2.43 eV/atom
- M_tot: 0.00 μB/f.u.

Cell lengths 4.1163, 4.1163, 11.9798 Å; angles 90.00, 90.00, 90.00 degrees
Space group I4/mmm (No. 139)
Asymmetric unit:
Zn1 0.0000 0.0000 0.1046 (multiplicity 4)
Ga1 0.0000 0.5000 0.2500 (multiplicity 4)
Bi1 0.0000 0.0000 0.5000 (multiplicity 2)

***

Computed, not measured: a geometry-optimized GaGePb2 structure at the GGA-PBE level of DFT.

Results
- E_form: 98.3 kJ/mol of formula units
- E_tot: -3.51 eV/atom
- M_tot: 0.00 μB/f.u.

Cell lengths 6.5064, 6.5064, 12.5905 Å; angles 90.00, 90.00, 90.00 degrees
Space group I-42d (No. 122)
Asymmetric unit:
Ga1 0.0000 0.0000 0.0000 (multiplicity 4)
Ge1 0.0000 0.0000 0.5000 (multiplicity 4)
Pb1 0.2487 0.2500 0.6250 (multiplicity 8)

***

Computed, not measured: a geometry-optimized CaSm15Ho4 structure at the GGA-PBE level of DFT.

Results
- E_form: 55.3 kJ/mol of formula units
- E_tot: -4.53 eV/atom
- M_tot: 0.00 μB/f.u.

Cell lengths 5.1192, 5.1192, 25.5250 Å; angles 90.00, 90.00, 90.00 degrees
Space group P4/mmm (No. 123)
Asymmetric unit:
Ca1 0.0000 0.0000 0.0000 (multiplicity 1)
Sm1 0.0000 0.5000 0.1042 (multiplicity 4)
Sm2 0.0000 0.5000 0.3017 (multiplicity 4)
Sm3 0.0000 0.5000 0.5000 (multiplicity 2)
Sm4 0.5000 0.5000 0.0000 (multiplicity 1)
Sm5 0.5000 0.5000 0.2014 (multiplicity 2)
Sm6 0.5000 0.5000 0.4005 (multiplicity 2)
Ho1 0.0000 0.0000 0.2016 (multiplicity 2)
Ho2 0.0000 0.0000 0.4008 (multiplicity 2)